Density functional theory data (GGA-PBE) for an optimized crystal structure of AlTl2Pb.

Calculated values
- ΔE_f (meV/atom) = 173
- DOS at the Fermi energy (states/eV per atom) = 0.556

Cell lengths 3.5487, 3.5487, 8.7305 Å; angles 90.00, 90.00, 90.00 degrees
With the nearest neighbours (Å) after each atom.
Fractional coordinates of all 4 atoms:
Tl 0.0000 0.0000 0.4696  4 Al 3.16, 4 Pb 3.51
Tl 0.0000 0.0000 0.0304  4 Al 3.16, 4 Pb 3.51
Al 0.5000 0.5000 0.2500  8 Tl 3.16
Pb 0.5000 0.5000 0.7500  8 Tl 3.51, 4 Pb 3.55